The following is a PBE-GGA calculation of LiRuRh after structural relaxation, from Alexandria via LeMat-Bulk.

Calculated values
The value obtained for the volume is 156 Å³/cell. As for the crystal system: orthorhombic. The calculated formation energy is 0.132 eV per atom. For the energy above the most stable polymorph in this dataset, the calculation gives 0.105 eV per atom.

Geometry as POSCAR:
```
LiRuRh
1.0
4.949 0.000 0.000
0.000 4.246 0.000
0.000 0.000 7.433
Li Ru Rh
4 4 4
Direct
0.224 0.250 0.084
0.276 0.750 0.584
0.724 0.250 0.416
0.776 0.750 0.916
0.015 0.250 0.751
0.485 0.750 0.251
0.515 0.250 0.749
0.985 0.750 0.249
0.223 0.250 0.418
0.277 0.750 0.918
0.723 0.250 0.082
0.777 0.750 0.582
```